(1)
## PuTh (PBE)

Data for a relaxed PuTh crystal.

## Properties
Its electronic total energy is -10.625 eV per atom. The value obtained for the excess energy over the best structure of this formula in the dataset is 13 kJ/mol of formula units. As for the space group: P2_1/m (11). For the formation energy, the calculation gives 0.25 eV per atom. The calculation puts the theoretical density at 15.66 g cm⁻³.

abc: 3.4674 4.1508 7.0874
angles: 90.00 98.17 90.00
Element x y z (fractional)
Pu: 0.1383 0.2500 0.0405
Pu: 0.8617 0.7500 0.9595
Th: 0.2972 0.2500 0.6581
Th: 0.7028 0.7500 0.3419

(2)
## TaAlPd5 (PBE)

Data for a relaxed TaAlPd5 crystal.

## Properties
Its electronic total energy is -6.506 eV per atom. The value obtained for the excess energy over the best structure of this formula in the dataset is 0 kJ/mol of formula units. As for the space group: P4/mmm (123). For the formation energy, the calculation gives -0.57 eV per atom. The calculation puts the theoretical density at 11.01 g cm⁻³.

abc: 4.0203 4.0203 6.9054
angles: 90.00 90.00 90.00
Element x y z (fractional)
Ta: 0.0000 0.0000 0.0000
Al: 0.5000 0.5000 0.5000
Pd: 0.0000 0.5000 0.2785
Pd: 0.0000 0.5000 0.7215
Pd: 0.5000 0.0000 0.2785
Pd: 0.5000 0.0000 0.7215
Pd: 0.5000 0.5000 0.0000

(3)
## RbBe2Tl2O6 (PBE)

Data for a relaxed RbBe2Tl2O6 crystal.

## Properties
Its electronic total energy is -5.183 eV per atom. As for the space group: P-1 (2). The calculation puts the energy relative to the elements, uncorrected at -1.283 eV/atom. The calculation puts the theoretical density at 5.24 g cm⁻³.

abc: 5.8492 5.8817 6.8020
angles: 112.54 114.52 90.65
Element x y z (fractional)
Rb: 0.0000 0.0000 0.0000
Be: 0.2626 0.2700 0.6818
Be: 0.7374 0.7300 0.3182
Tl: 0.3200 0.7151 0.4302
Tl: 0.6800 0.2849 0.5698
O: 0.0628 0.2902 0.7709
O: 0.3047 0.3844 0.5219
O: 0.4754 0.1103 0.7332
O: 0.5246 0.8897 0.2668
O: 0.6953 0.6156 0.4781
O: 0.9372 0.7098 0.2291

Please write out number 1 again, unchanged.
## PuTh (PBE)

Data for a relaxed PuTh crystal.

## Properties
Its electronic total energy is -10.625 eV per atom. The value obtained for the excess energy over the best structure of this formula in the dataset is 13 kJ/mol of formula units. As for the space group: P2_1/m (11). For the formation energy, the calculation gives 0.25 eV per atom. The calculation puts the theoretical density at 15.66 g cm⁻³.

abc: 3.4674 4.1508 7.0874
angles: 90.00 98.17 90.00
Element x y z (fractional)
Pu: 0.1383 0.2500 0.0405
Pu: 0.8617 0.7500 0.9595
Th: 0.2972 0.2500 0.6581
Th: 0.7028 0.7500 0.3419